Entry from Alexandria via LeMat-Bulk: Cs2Ho2HfTe6 after structural relaxation (GGA-PBE).

a = 7.5200 Å, b = 7.5200 Å, c = 9.5378 Å
α = 97.97°, β = 97.97°, γ = 119.82°
Sites, in units of the cell vectors:
Cs1 0.1709 0.8291 0.0000
Cs2 0.8291 0.1709 0.0000
Ho1 0.3321 0.6679 0.5000
Ho2 0.6679 0.3321 0.5000
Hf1 0.0000 0.0000 0.5000
Te1 0.0679 0.3830 0.6862
Te2 0.2545 0.2545 0.3158
Te3 0.3830 0.0679 0.6862
Te4 0.6170 0.9321 0.3138
Te5 0.7455 0.7455 0.6842
Te6 0.9321 0.6170 0.3138

**Energy relative to the elements, uncorrected**: -13.57 eV per formula unit
**Space group**: C2/m (12)


Entry from Alexandria via LeMat-Bulk: RbMgTl2 after structural relaxation (GGA-PBE).

a = 5.0248 Å, b = 5.0248 Å, c = 20.9146 Å
α = 90.00°, β = 90.00°, γ = 120.00°
Sites, in units of the cell vectors:
Rb1 0.0000 0.0000 0.0000
Rb2 0.3333 0.6667 0.6667
Rb3 0.6667 0.3333 0.3333
Mg1 0.0000 0.0000 0.8173
Mg2 0.3333 0.6667 0.4840
Mg3 0.6667 0.3333 0.1506
Tl1 0.0000 0.0000 0.2083
Tl2 0.0000 0.0000 0.4556
Tl3 0.3333 0.6667 0.1223
Tl4 0.3333 0.6667 0.8750
Tl5 0.6667 0.3333 0.5417
Tl6 0.6667 0.3333 0.7889

**Offset from the most stable computed form**: 51 meV per atom
**Energy relative to the elements**: -0.027 eV per atom
**Space group**: R3m (160)


Entry from Alexandria via LeMat-Bulk: Dy2Ho5Cd after structural relaxation (GGA-PBE).

a = 10.9312 Å, b = 8.0776 Å, c = 7.3490 Å
α = 90.00°, β = 132.23°, γ = 90.00°
Sites, in units of the cell vectors:
Dy1 0.0000 0.0000 0.0000
Dy2 0.0009 0.0000 0.5004
Dy3 0.5000 0.5000 0.0000
Dy4 0.5009 0.5000 0.5004
Ho1 0.0008 0.5000 0.4302
Ho2 0.2246 0.2758 0.9685
Ho3 0.2246 0.7242 0.9685
Ho4 0.2763 0.2241 0.5191
Ho5 0.2763 0.7759 0.5191
Ho6 0.5008 0.0000 0.4302
Ho7 0.7246 0.2242 0.9685
Ho8 0.7246 0.7758 0.9685
Ho9 0.7763 0.2759 0.5191
Ho10 0.7763 0.7241 0.5191
Cd1 0.0002 0.5000 0.0092
Cd2 0.5002 0.0000 0.0092

**Energy relative to the elements**: 0.009 eV per atom
**Space group**: Cm (8)